A geometry-optimized Pm2Nd3YAs6 structure, computed with GGA-PBE.

Properties
Magnetization, Bohr magnetons per cell: 0.00
Formation enthalpy at 0 K, eV per formula unit: -18.3
N(E_F), states/eV/cell: 3.46
Crystal system: monoclinic

Unit cell a=18.4650 b=4.2396 c=8.4719 alpha=90.00 beta=103.26 gamma=90.00
Last column: nearest neighbours and their distance in Å.
Space group C2/m (No. 12)
Unique sites:
Pm (0.1660, 0.0000, 0.3325) [4 per cell]  6 As 2.98-3.00
Nd (0.0000, 0.5000, 0.5000) [2 per cell]  6 As 3.00-3.03
Nd (0.1669, 0.0000, 0.8339) [4 per cell]  6 As 3.00-3.03
Y (0.0000, 0.5000, 0.0000) [2 per cell]  6 As 2.96
As (0.0001, 0.0000, 0.2442) [4 per cell]  2 Y 2.96, 1 Pm 2.98, 3 Nd 3.00-3.03
As (0.1645, 0.5000, 0.0835) [4 per cell]  1 Y 2.96, 2 Pm 2.99, 3 Nd 3.00-3.03
As (0.1672, 0.5000, 0.5822) [4 per cell]  3 Pm 2.99-3.00, 3 Nd 3.00-3.01